No. 1
Computed, not measured: a geometry-optimized Mn2BePb structure at the PBE-GGA level of DFT.

It has space group I-42d (No. 122), with a = 3.747 Å, b = 3.747 Å, c = 17.167 Å, α = 90.00°, β = 90.00° and γ = 90.00°. The asymmetric unit holds Mn at (0.143, 0.250, 0.125), Be at (0.000, 0.000, 0.000) and Pb at (0.000, 0.000, 0.500).

The offset from the most stable computed form comes out at 346.6 meV/atom. For the density, the calculation gives 8.99 Mg/m³. The formation energy comes out at 743 meV/atom.

No. 2
Computed, not measured: a geometry-optimized Tb3Dy2Ho8 structure at the PBE-GGA level of DFT.

It has space group P-1 (No. 2), with a = 6.107 Å, b = 7.879 Å, c = 9.332 Å, α = 75.28°, β = 70.98° and γ = 75.05°. The asymmetric unit holds Tb at (0.000, 0.000, 0.000), Tb at (0.462, 0.231, 0.923), Dy at (0.231, 0.615, 0.462), Ho at (0.076, 0.538, 0.154), Ho at (0.154, 0.077, 0.308), Ho at (0.307, 0.154, 0.615) and Ho at (0.385, 0.692, 0.769).

The offset from the most stable computed form comes out at 0.0 meV/atom. For the density, the calculation gives 8.74 Mg/m³. The formation energy comes out at 19 meV/atom.

no.,E (eV/atom)
1,-5.7004
2,-4.5743